Here is a geometry-optimized VCo3Mo structure from Alexandria. Energies are from PBE-GGA.

Cell and atoms, written as extended XYZ:
```
10
Lattice="-2.494 1.475 3.348 -3.782 -1.905 -1.977 2.919 -4.271 4.056" Properties=species:S:1:pos:R:3 pbc="T T T"
V -0.968 -3.478 5.202
V -2.388 -1.224 0.224
Co -4.404 -1.732 1.874
Co -2.559 -0.803 2.839
Co -0.798 -3.899 2.587
Co 1.048 -2.969 3.552
Co 0.000 0.000 0.000
Co -1.247 0.737 1.674
Mo -3.133 -3.040 3.397
Mo -0.224 -1.662 2.029
```

Calculated values
* space group: Cmcm
* electronic total energy: -8.0528 eV/atom
* ΔE to the lowest computed polymorph: 0.050 eV per atom
* total magnetic moment: 0.000 Bohr magnetons per cell